w:
Pm2GaIr2: relaxed, PBE.

The value obtained for the size of the total moment is 0.0 μB/f.u. As for the symmetry: Immm (71).

Unit cell a=5.665 b=5.665 c=5.665 alpha=136.53 beta=117.59 gamma=79.11
Positions (direct):
Pm: 0.199 0.199 0.000
Pm: 0.801 0.801 0.000
Ga: 0.500 0.000 0.500
Ir: 0.238 0.500 0.738
Ir: 0.762 0.500 0.262

***

x:
Pm2GaIr2: relaxed, PBE.

The value obtained for the size of the total moment is 0.0 μB/f.u. As for the symmetry: C2/c (15).

Unit cell a=5.776 b=5.776 c=7.860 alpha=101.93 beta=101.93 gamma=58.04
Positions (direct):
Pm: 0.002 0.706 0.852
Pm: 0.294 0.998 0.648
Pm: 0.706 0.002 0.352
Pm: 0.998 0.294 0.148
Ga: 0.373 0.627 0.250
Ga: 0.627 0.373 0.750
Ir: 0.222 0.506 0.492
Ir: 0.494 0.778 0.008
Ir: 0.506 0.222 0.992
Ir: 0.778 0.494 0.508

***

Stability summary - winner: x; margin: 10 meV per atom.

***

w:
Pm2Ga3Ir: relaxed, PBE.

The value obtained for the size of the total moment is 0.0 μB/f.u. As for the symmetry: Cm (8).

Unit cell a=5.745 b=5.745 c=7.267 alpha=127.73 beta=127.73 gamma=44.81
Positions (direct):
Pm: 0.000 0.000 0.000
Pm: 0.101 0.101 0.609
Ga: 0.380 0.380 0.217
Ga: 0.705 0.705 0.005
Ga: 0.722 0.722 0.414
Ir: 0.390 0.390 0.609

***

x:
Pm2Ga3Ir: relaxed, PBE.

The value obtained for the size of the total moment is 0.0 μB/f.u. As for the symmetry: Fmmm (69).

Unit cell a=8.899 b=8.538 c=5.851 alpha=73.76 beta=67.09 gamma=39.14
Positions (direct):
Pm: 0.240 0.760 0.760
Pm: 0.250 0.250 0.250
Pm: 0.750 0.750 0.750
Pm: 0.760 0.240 0.240
Ga: 0.164 0.668 0.332
Ga: 0.329 0.329 0.671
Ga: 0.332 0.836 0.164
Ga: 0.668 0.164 0.836
Ga: 0.671 0.671 0.329
Ga: 0.836 0.332 0.668
Ir: 0.162 0.162 0.838
Ir: 0.838 0.838 0.162

***

Stability summary - winner: w; margin: 13 meV per atom.

***

w:
PmGa2Ir: relaxed, PBE.

The value obtained for the size of the total moment is 0.0 μB/f.u. As for the symmetry: Fm-3m (225).

Unit cell a=4.687 b=4.687 c=4.687 alpha=60.00 beta=60.00 gamma=60.00
Positions (direct):
Pm: 0.000 0.000 0.000
Ga: 0.250 0.250 0.250
Ga: 0.750 0.750 0.750
Ir: 0.500 0.500 0.500

***

x:
PmGa2Ir: relaxed, PBE.

The value obtained for the size of the total moment is 0.0 μB/f.u. As for the symmetry: R-3m (166).

Unit cell a=5.699 b=5.699 c=5.699 alpha=43.74 beta=43.74 gamma=43.74
Positions (direct):
Pm: 0.000 0.000 0.000
Ga: 0.215 0.215 0.215
Ga: 0.785 0.785 0.785
Ir: 0.500 0.500 0.500

***

Stability summary - winner: x; margin: 160 meV per atom.

***

w:
PmGa2Ir: relaxed, PBE.

The value obtained for the size of the total moment is 0.0 μB/f.u. As for the symmetry: P6_3/mmc (194).

Unit cell a=4.228 b=4.228 c=10.346 alpha=90.00 beta=90.00 gamma=120.00
Positions (direct):
Pm: 0.333 0.667 0.250
Pm: 0.667 0.333 0.750
Ga: 0.333 0.667 0.574
Ga: 0.333 0.667 0.926
Ga: 0.667 0.333 0.074
Ga: 0.667 0.333 0.426
Ir: 0.000 0.000 0.000
Ir: 0.000 0.000 0.500

***

x:
PmGa2Ir: relaxed, PBE.

The value obtained for the size of the total moment is 0.0 μB/f.u. As for the symmetry: P4/mmm (123).

Unit cell a=4.125 b=4.125 c=4.576 alpha=90.00 beta=90.00 gamma=90.00
Positions (direct):
Pm: 0.000 0.000 0.000
Ga: 0.000 0.500 0.500
Ga: 0.500 0.000 0.500
Ir: 0.500 0.500 0.000

***

Stability summary - winner: w; margin: 328 meV per atom.

***

w:
Pm8GaIr2: relaxed, PBE.

The value obtained for the size of the total moment is 0.0 μB/f.u. As for the symmetry: C2/m (12).

Unit cell a=9.337 b=9.337 c=7.160 alpha=106.15 beta=106.15 gamma=31.24
Positions (direct):
Pm: 0.036 0.036 0.270
Pm: 0.201 0.201 0.817
Pm: 0.329 0.329 0.537
Pm: 0.406 0.406 0.042
Pm: 0.594 0.594 0.958
Pm: 0.671 0.671 0.463
Pm: 0.799 0.799 0.183
Pm: 0.964 0.964 0.730
Ga: 0.500 0.500 0.500
Ir: 0.191 0.191 0.208
Ir: 0.809 0.809 0.792

***

x:
Pm8GaIr2: relaxed, PBE.

The value obtained for the size of the total moment is 0.0 μB/f.u. As for the symmetry: Cm (8).

Unit cell a=7.821 b=7.821 c=5.914 alpha=96.95 beta=96.95 gamma=112.96
Positions (direct):
Pm: 0.000 0.000 0.000
Pm: 0.026 0.292 0.580
Pm: 0.119 0.598 0.199
Pm: 0.292 0.026 0.580
Pm: 0.428 0.690 0.804
Pm: 0.598 0.119 0.199
Pm: 0.690 0.428 0.804
Pm: 0.739 0.739 0.409
Ga: 0.365 0.365 0.280
Ir: 0.047 0.673 0.702
Ir: 0.673 0.047 0.702

***

Stability summary - winner: w; margin: 63 meV per atom.

***

w:
PmGa2Ir2: relaxed, PBE.

The value obtained for the size of the total moment is 0.0 μB/f.u. As for the symmetry: I4/mmm (139).

Unit cell a=5.904 b=5.904 c=5.904 alpha=137.52 beta=137.52 gamma=61.65
Positions (direct):
Pm: 0.000 0.000 0.000
Ga: 0.375 0.375 0.000
Ga: 0.625 0.625 0.000
Ir: 0.250 0.750 0.500
Ir: 0.750 0.250 0.500

***

x:
PmGa2Ir2: relaxed, PBE.

The value obtained for the size of the total moment is 0.0 μB/f.u. As for the symmetry: P4/nmm (129).

Unit cell a=4.283 b=4.283 c=10.248 alpha=90.00 beta=90.00 gamma=90.00
Positions (direct):
Pm: 0.250 0.250 0.238
Pm: 0.750 0.750 0.762
Ga: 0.250 0.250 0.873
Ga: 0.250 0.750 0.500
Ga: 0.750 0.250 0.500
Ga: 0.750 0.750 0.127
Ir: 0.250 0.250 0.632
Ir: 0.250 0.750 0.000
Ir: 0.750 0.250 0.000
Ir: 0.750 0.750 0.368

***

Stability summary - winner: x; margin: 10 meV per atom.